{
  "formula": "Pm3H",
  "functional": "PBE",
  "state": "optimized geometry",
  "lattice": [[-0.070, -2.927, -1.774], [5.549, -1.223, 1.798], [-4.583, -0.336, 4.039]],
  "species": ["H", "Pm", "Pm", "Pm"],
  "frac_coords": [[0.000, 0.042, 0.000], [0.321, 0.706, 0.642], [0.500, 0.355, 0.000], [0.679, 0.064, 0.358]],
  "e_above_lowest_polymorph_mev_per_atom": 0,
  "magnetic_moment_mub_per_cell": 0.00,
  "space_group": "Imm2 (44)"
}


{
  "formula": "Pm2Pr2H",
  "functional": "PBE",
  "state": "optimized geometry",
  "lattice": [[5.199, 0.000, 0.000], [0.000, 5.176, 0.000], [0.000, 0.000, 5.176]],
  "species": ["Pm", "Pm", "Pr", "Pr", "H"],
  "frac_coords": [[0.000, 0.000, 0.500], [0.000, 0.500, 0.000], [0.500, 0.500, 0.500], [0.500, 0.000, 0.000], [0.000, 0.000, 0.000]],
  "dft_energy_ev_per_atom": -4.658,
  "magnetic_moment_mub_per_cell": 0.00,
  "space_group": "P4/mmm (123)"
}


{
  "formula": "Pm3PrH",
  "functional": "PBE",
  "state": "optimized geometry",
  "lattice": [[-0.270, -5.149, 0.140], [3.689, -0.095, 3.604], [-3.595, 0.289, 3.687]],
  "species": ["Pr", "H", "Pm", "Pm", "Pm"],
  "frac_coords": [[0.500, 0.500, 0.500], [0.000, 0.000, 0.000], [0.000, 0.500, 0.000], [0.000, 0.000, 0.500], [0.500, 0.000, 0.000]],
  "dft_energy_ev_per_atom": -4.654,
  "magnetic_moment_mub_per_cell": 0.00,
  "space_group": "Pm-3m (221)"
}


{
  "formula": "PmPrH2",
  "functional": "PBE",
  "state": "optimized geometry",
  "lattice": [[-2.558, -2.380, 0.992], [-0.373, -3.125, -1.813], [2.869, -4.433, 3.413]],
  "species": ["Pr", "H", "H", "Pm"],
  "frac_coords": [[0.500, 0.500, 0.500], [0.748, 0.748, 0.757], [0.252, 0.252, 0.243], [0.000, 0.000, 0.000]],
  "e_above_lowest_polymorph_mev_per_atom": 0,
  "magnetic_moment_mub_per_cell": 0.00,
  "space_group": "R-3m (166)"
}


{
  "formula": "PmPrH2",
  "functional": "PBE",
  "state": "optimized geometry",
  "lattice": [[-3.334, 0.848, 1.183], [-1.499, -1.890, 2.723], [0.821, 3.563, 5.355]],
  "species": ["Pm", "Pr", "H", "H"],
  "frac_coords": [[0.669, 0.669, 0.992], [0.492, 0.492, 0.525], [0.077, 0.077, 0.768], [0.262, 0.262, 0.215]],
  "e_above_lowest_polymorph_mev_per_atom": 102,
  "magnetic_moment_mub_per_cell": 0.00,
  "space_group": "R3m (160)"
}


{
  "formula": "PmPr2H8",
  "functional": "PBE",
  "state": "optimized geometry",
  "lattice": [[3.693, 0.000, -1.124], [-0.802, 4.642, -2.636], [0.002, 0.631, 6.637]],
  "species": ["Pm", "Pr", "Pr", "H", "H", "H", "H", "H", "H", "H", "H"],
  "frac_coords": [[0.500, 0.000, 0.000], [0.169, 0.669, 0.338], [0.831, 0.331, 0.662], [0.658, 0.900, 0.316], [0.342, 0.583, 0.684], [0.160, 0.160, 0.321], [0.000, 0.264, 0.000], [0.840, 0.840, 0.679], [0.658, 0.417, 0.316], [0.342, 0.100, 0.684], [0.000, 0.736, 0.000]],
  "dft_energy_ev_per_atom": -4.317,
  "magnetic_moment_mub_per_cell": 0.00,
  "space_group": "Immm (71)"
}


{
  "formula": "Pm2PrH",
  "functional": "PBE",
  "state": "optimized geometry",
  "lattice": [[3.604, 0.000, 0.000], [1.802, 3.121, 0.000], [1.802, 1.040, 9.745]],
  "species": ["Pr", "H", "Pm", "Pm"],
  "frac_coords": [[0.000, 0.000, 0.000], [0.500, 0.500, 0.500], [0.119, 0.119, 0.642], [0.881, 0.881, 0.358]],
  "e_above_lowest_polymorph_mev_per_atom": 113,
  "magnetic_moment_mub_per_cell": 0.00,
  "space_group": "R-3m (166)"
}


{
  "formula": "PmPrH",
  "functional": "PBE",
  "state": "optimized geometry",
  "lattice": [[3.754, 0.000, 0.000], [-1.877, 3.251, 0.000], [0.000, 0.000, 5.907]],
  "species": ["Pr", "H", "Pm"],
  "frac_coords": [[0.667, 0.333, 0.425], [0.333, 0.667, 0.672], [0.000, 0.000, 0.903]],
  "e_above_lowest_polymorph_mev_per_atom": 0,
  "magnetic_moment_mub_per_cell": 0.00,
  "space_group": "P3m1 (156)"
}